Entry 1:
YHfAl | PBE-GGA | optimized geometry

Polymorph energy (0 for the lowest one) ... 0 meV per atom

Structure (CIF):
```
data_YHfAl
_chemical_formula_sum 'Y4 Hf4 Al4'
_cell_length_a 6.7930
_cell_length_b 6.7930
_cell_length_c 6.7930
_cell_angle_alpha 90.00
_cell_angle_beta 90.00
_cell_angle_gamma 90.00
_space_group_name_H-M_alt 'F -4 3 m'
_space_group_IT_number 216
_space_group_name_Hall 'F -4 2 3'
loop_
_atom_site_label
_atom_site_type_symbol
_atom_site_fract_x
_atom_site_fract_y
_atom_site_fract_z
Y1 Y 0.0000 0.0000 0.0000
Hf1 Hf 0.0000 0.0000 0.5000
Al1 Al 0.2500 0.2500 0.7500
```

=====

Entry 2:
Tm2CoSi2WC | PBE-GGA | optimized geometry

Energy ... -7.582 eV/atom

Structure (CIF):
```
data_Tm2CoSi2WC
_chemical_formula_sum 'Tm4 Co2 Si4 W2 C2'
_cell_length_a 10.8498
_cell_length_b 3.8290
_cell_length_c 6.8959
_cell_angle_alpha 90.00
_cell_angle_beta 127.61
_cell_angle_gamma 90.00
_space_group_name_H-M_alt 'C 1 m 1'
_space_group_IT_number 8
_space_group_name_Hall 'C -2y'
loop_
_atom_site_label
_atom_site_type_symbol
_atom_site_fract_x
_atom_site_fract_y
_atom_site_fract_z
Tm1 Tm 0.0000 0.0000 0.0000
Tm2 Tm 0.1366 0.0000 0.5915
Co1 Co 0.3625 0.0000 0.2060
Si1 Si 0.2257 0.5000 0.9868
Si2 Si 0.4401 0.0000 0.6231
W1 W 0.2681 0.5000 0.3857
C1 C 0.0583 0.5000 0.2881
```

=====

Entry 3:
Zr4InAuN2 | PBE-GGA | optimized geometry

Energy ... -8.173 eV/atom

Structure (CIF):
```
data_Zr4InAuN2
_chemical_formula_sum 'Zr4 In1 Au1 N2'
_cell_length_a 3.3137
_cell_length_b 3.3137
_cell_length_c 14.4389
_cell_angle_alpha 90.00
_cell_angle_beta 90.00
_cell_angle_gamma 120.00
_space_group_name_H-M_alt 'P -6 m 2'
_space_group_IT_number 187
_space_group_name_Hall 'P -6 2'
loop_
_atom_site_label
_atom_site_type_symbol
_atom_site_fract_x
_atom_site_fract_y
_atom_site_fract_z
Zr1 Zr 0.0000 0.0000 0.1570
Zr2 Zr 0.6667 0.3333 0.3294
In1 In 0.0000 0.0000 0.5000
Au1 Au 0.6667 0.3333 0.0000
N1 N 0.3333 0.6667 0.2431
```

=====

Copy entry 2 word for word.
Tm2CoSi2WC | PBE-GGA | optimized geometry

Energy ... -7.582 eV/atom

Structure (CIF):
```
data_Tm2CoSi2WC
_chemical_formula_sum 'Tm4 Co2 Si4 W2 C2'
_cell_length_a 10.8498
_cell_length_b 3.8290
_cell_length_c 6.8959
_cell_angle_alpha 90.00
_cell_angle_beta 127.61
_cell_angle_gamma 90.00
_space_group_name_H-M_alt 'C 1 m 1'
_space_group_IT_number 8
_space_group_name_Hall 'C -2y'
loop_
_atom_site_label
_atom_site_type_symbol
_atom_site_fract_x
_atom_site_fract_y
_atom_site_fract_z
Tm1 Tm 0.0000 0.0000 0.0000
Tm2 Tm 0.1366 0.0000 0.5915
Co1 Co 0.3625 0.0000 0.2060
Si1 Si 0.2257 0.5000 0.9868
Si2 Si 0.4401 0.0000 0.6231
W1 W 0.2681 0.5000 0.3857
C1 C 0.0583 0.5000 0.2881
```

=====

Copy entry 1 word for word.
YHfAl | PBE-GGA | optimized geometry

Polymorph energy (0 for the lowest one) ... 0 meV per atom

Structure (CIF):
```
data_YHfAl
_chemical_formula_sum 'Y4 Hf4 Al4'
_cell_length_a 6.7930
_cell_length_b 6.7930
_cell_length_c 6.7930
_cell_angle_alpha 90.00
_cell_angle_beta 90.00
_cell_angle_gamma 90.00
_space_group_name_H-M_alt 'F -4 3 m'
_space_group_IT_number 216
_space_group_name_Hall 'F -4 2 3'
loop_
_atom_site_label
_atom_site_type_symbol
_atom_site_fract_x
_atom_site_fract_y
_atom_site_fract_z
Y1 Y 0.0000 0.0000 0.0000
Hf1 Hf 0.0000 0.0000 0.5000
Al1 Al 0.2500 0.2500 0.7500
```